HfS2I | PBE | relaxed

Cell: 4.811 4.811 4.811 Å, 60.00 60.00 60.00°
Fractional coordinates of all 4 atoms:
I  0.000  0.000  0.000
Hf  0.500  0.500  0.500
S  0.250  0.250  0.250
S  0.750  0.750  0.750

Computed properties:
SG: No. 225
ΔE_f (raw) in eV per atom: -0.064

---

Hf2Nb2Re | PBE | relaxed

Cell: 3.861 3.861 7.374 Å, 74.82 74.82 90.00°
Fractional coordinates of all 5 atoms:
Hf  0.250  0.750  0.500
Hf  0.750  0.250  0.500
Nb  0.585  0.585  0.830
Nb  0.415  0.415  0.170
Re  0.000  0.000  0.000

Computed properties:
SG: No. 139
Energy of formation in meV/atom: 1000

---

NiSn2I | PBE | relaxed

Cell: 6.417 6.417 7.956 Å, 66.22 66.22 90.00°
Fractional coordinates of all 8 atoms:
I  0.000  0.000  0.000
I  0.750  0.250  0.500
Ni  0.500  0.500  0.000
Ni  0.250  0.750  0.500
Sn  0.502  0.125  0.250
Sn  0.875  0.752  0.750
Sn  0.248  0.625  0.250
Sn  0.375  0.498  0.750

Computed properties:
SG: No. 122
ΔE_f (raw) in eV per atom: 0.091

---

Number 1: DOS at the Fermi energy 3.9 states/eV/f.u., energy -5.004 eV/atom. Number 2: DOS at the Fermi energy 6.6 states/eV/f.u., energy -9.499 eV/atom. Number 3: DOS at the Fermi energy 1.5 states/eV/f.u., energy -3.744 eV/atom.